Version one
This record from Alexandria describes Pr4Ge2N after structural relaxation. The functional is PBE-GGA.

a = 4.7421 Å, b = 4.7421 Å, c = 30.6695 Å
α = 90.00°, β = 90.00°, γ = 90.00°
Space group I4/mmm (No. 139)
Unique sites:
Pr  0.0000  0.0000  0.0943
Pr  0.0000  0.5000  0.0000
Ge  0.0000  0.0000  0.4248
N  0.0000  0.0000  0.5000

The calculated density is 3.5 g/cm³.

=====

Version two
This record from Alexandria describes Pr4Ge2N after structural relaxation. The functional is PBE-GGA.

a = 12.2647 Å, b = 4.0700 Å, c = 8.5319 Å
α = 90.00°, β = 124.77°, γ = 90.00°
Space group C2/m (No. 12)
Unique sites:
Pr  0.0800  0.0000  0.3422
Pr  0.1593  0.5000  0.0768
Ge  0.1142  0.5000  0.6628
N  0.0000  0.0000  0.0000

The calculated density is 6.9 g/cm³.

=====

Pick the least stable structure from those above. Pick: version one